The following is a PBE-GGA calculation of a relaxed TmHf2Mn crystal, from Alexandria.

Calculated values
total magnetic moment	0.00	μB/cell
formation energy	0.05	eV per atom
ρ	11.5	g cm⁻³
energy above the lowest structure with this stoichiometry	0.0000	eV/atom

abc: 3.198 3.198 8.203
angles: 90.00 90.00 90.00
Atoms (fractional coordinates):
Tm 0.000 0.000 0.000
Hf 0.500 0.500 0.317
Hf 0.500 0.500 0.683
Mn 0.000 0.000 0.500

---

The following is a PBE-GGA calculation of a relaxed TmHf2Mn crystal, from Alexandria.

Calculated values
total magnetic moment	0.00	μB/cell
formation energy	0.35	eV per atom
ρ	11.0	g cm⁻³
energy above the lowest structure with this stoichiometry	0.3003	eV/atom

abc: 10.187 10.187 10.187
angles: 17.96 17.96 17.96
Atoms (fractional coordinates):
Tm 0.000 0.000 0.000
Hf 0.105 0.105 0.105
Hf 0.895 0.895 0.895
Mn 0.500 0.500 0.500

---

The following is a PBE-GGA calculation of a relaxed TmHfMn4 crystal, from Alexandria.

Calculated values
total magnetic moment	2.29	μB/cell
formation energy	-0.08	eV per atom
ρ	10.7	g cm⁻³

abc: 4.991 4.991 4.991
angles: 60.00 60.00 60.00
Atoms (fractional coordinates):
Tm 0.000 0.000 0.000
Hf 0.750 0.750 0.750
Mn 0.375 0.375 0.375
Mn 0.375 0.375 0.874
Mn 0.375 0.874 0.375
Mn 0.874 0.375 0.375

---

The following is a PBE-GGA calculation of a relaxed TmHfMnZn crystal, from Alexandria.

Calculated values
total magnetic moment	1.16	μB/cell
formation energy	-0.02	eV per atom
ρ	10.5	g cm⁻³

abc: 4.713 4.713 4.713
angles: 60.00 60.00 60.00
Atoms (fractional coordinates):
Tm 0.000 0.000 0.000
Hf 0.500 0.500 0.500
Mn 0.750 0.750 0.750
Zn 0.250 0.250 0.250

---

> What is the total magnetic moment in the second record?

0.00 μB/cell

---

> Look up the ρ of the first one.

11.5 g cm⁻³

---

> Which of these has the highest ρ?

number 1